## Ta2IrSe (PBE-GGA)

Data for a relaxed structure of Ta2IrSe.

Values from the calculation:
DOS at the Fermi energy = 0.743 states/eV/atom
Total magnetic moment = 0.00 μB per cell
Energy relative to the elements, uncorrected = 55 meV/atom

Geometry as CIF:
```
data_Ta2IrSe
_symmetry_space_group_name_H-M 'C 1 2/m 1'
_symmetry_Int_Tables_number 12
_cell_length_a 9.3680
_cell_length_b 3.0765
_cell_length_c 4.7898
_cell_angle_alpha 90.00
_cell_angle_beta 97.20
_cell_angle_gamma 90.00
loop_
_symmetry_equiv_pos_as_xyz
'x,y,z'
'-x,-y,-z'
'-x,y,-z'
'x,-y,z'
'x+1/2,y+1/2,z'
'-x+1/2,-y+1/2,-z'
'-x+1/2,y+1/2,-z'
'x+1/2,-y+1/2,z'
loop_
_atom_site_label
_atom_site_fract_x
_atom_site_fract_y
_atom_site_fract_z
Ta1 0.2434 0.0000 0.2354
Ir1 0.0000 0.5000 0.0000
Se1 0.0000 0.0000 0.5000
```



## Ta2IrSe (PBE-GGA)

Data for a relaxed structure of Ta2IrSe.

Values from the calculation:
DOS at the Fermi energy = 0.950 states/eV/atom
Total magnetic moment = 0.00 μB per cell
Energy relative to the elements, uncorrected = -343 meV/atom

Geometry as CIF:
```
data_Ta2IrSe
_symmetry_space_group_name_H-M 'P 4/m m m'
_symmetry_Int_Tables_number 123
_symmetry_space_group_name_Hall '-P 4 2'
_cell_length_a 3.0026
_cell_length_b 3.0026
_cell_length_c 7.2656
_cell_angle_alpha 90.00
_cell_angle_beta 90.00
_cell_angle_gamma 90.00
loop_
_atom_site_label
_atom_site_fract_x
_atom_site_fract_y
_atom_site_fract_z
Ta1 0.0000 0.0000 0.2435
Ir1 0.5000 0.5000 0.5000
Se1 0.5000 0.5000 0.0000
```



## Ta2IrSe (PBE-GGA)

Data for a relaxed structure of Ta2IrSe.

Values from the calculation:
DOS at the Fermi energy = 1.312 states/eV/atom
Total magnetic moment = 0.00 μB per cell
Energy relative to the elements, uncorrected = 345 meV/atom

Geometry as CIF:
```
data_Ta2IrSe
_symmetry_space_group_name_H-M 'F -4 3 m'
_symmetry_Int_Tables_number 216
_symmetry_space_group_name_Hall 'F -4 2 3'
_cell_length_a 6.5005
_cell_length_b 6.5005
_cell_length_c 6.5005
_cell_angle_alpha 90.00
_cell_angle_beta 90.00
_cell_angle_gamma 90.00
loop_
_atom_site_label
_atom_site_fract_x
_atom_site_fract_y
_atom_site_fract_z
Ta1 0.0000 0.0000 0.0000
Ta2 0.2500 0.2500 0.2500
Ir1 0.0000 0.0000 0.5000
Se1 0.2500 0.2500 0.7500
```



| no. | calculated total energy (eV/cell) |
| --- | --- |
| 1 | -71.7 |
| 2 | -37.4 |
| 3 | -138.7 |